# 1
! Cs6VF12, relaxed, DFT GGA+U; values from VASP
! Total energy in eV per atom: -4.3938
! Space-group type: No. 148
&SYSTEM
  ibrav = 0, nat = 19, ntyp = 3
/
ATOMIC_SPECIES
Cs 132.91 Cs.upf
F 19.00 F.upf
V 50.94 V.upf
CELL_PARAMETERS angstrom
8.292 -0.539 -1.020
-1.085 8.238 -1.020
-0.505 -0.539 8.339
ATOMIC_POSITIONS crystal
Cs 0.325 0.583 0.145
Cs 0.855 0.675 0.417
Cs 0.145 0.325 0.583
Cs 0.417 0.855 0.675
Cs 0.583 0.145 0.325
Cs 0.675 0.417 0.855
F 0.984 0.072 0.214
F 0.072 0.214 0.984
F 0.395 0.585 0.829
F 0.786 0.016 0.928
F 0.016 0.928 0.786
F 0.214 0.984 0.072
F 0.415 0.171 0.605
F 0.928 0.786 0.016
F 0.605 0.415 0.171
F 0.171 0.605 0.415
F 0.585 0.829 0.395
F 0.829 0.395 0.585
V 0.000 0.000 0.000

---

# 2
! Cs2VF7, relaxed, DFT GGA+U; values from VASP
! Total energy in eV per atom: -4.8684
! Space-group type: No. 15
&SYSTEM
  ibrav = 0, nat = 20, ntyp = 3
/
ATOMIC_SPECIES
F 19.00 F.upf
V 50.94 V.upf
Cs 132.91 Cs.upf
CELL_PARAMETERS angstrom
-2.283 6.269 0.975
-8.134 0.455 1.349
0.260 2.466 8.068
ATOMIC_POSITIONS crystal
F 0.893 0.751 0.103
F 0.772 0.200 0.978
F 0.661 0.250 0.750
F 0.747 0.749 0.397
F 0.089 0.010 0.704
F 0.911 0.990 0.296
F 0.339 0.750 0.250
F 0.949 0.300 0.522
F 0.253 0.251 0.603
F 0.107 0.249 0.897
F 0.228 0.800 0.022
F 0.197 0.510 0.204
F 0.803 0.490 0.796
F 0.051 0.700 0.478
V 0.946 0.250 0.750
V 0.054 0.750 0.250
Cs 0.256 0.573 0.757
Cs 0.744 0.427 0.243
Cs 0.414 0.073 0.257
Cs 0.586 0.927 0.743

---

# 3
! Cs3VF, relaxed, DFT GGA+U; values from VASP
! Total energy in eV per atom: -2.2163
! Space-group type: No. 221
&SYSTEM
  ibrav = 0, nat = 5, ntyp = 3
/
ATOMIC_SPECIES
F 19.00 F.upf
Cs 132.91 Cs.upf
V 50.94 V.upf
CELL_PARAMETERS angstrom
-6.431 2.548 1.220
-2.710 -4.709 -4.452
-0.797 -4.547 5.294
ATOMIC_POSITIONS crystal
F 0.500 0.500 0.500
Cs 0.500 0.000 0.000
Cs 0.000 0.000 0.500
Cs 0.000 0.500 0.000
V 0.000 0.000 0.000

---

# 4
! CsVF2, relaxed, DFT GGA+U; values from VASP
! Total energy in eV per atom: -4.1153
! Energy relative to the lowest polymorph listed for this composition in meV/atom: 514.6
! Space-group type: No. 225
&SYSTEM
  ibrav = 0, nat = 4, ntyp = 3
/
ATOMIC_SPECIES
F 19.00 F.upf
Cs 132.91 Cs.upf
V 50.94 V.upf
CELL_PARAMETERS angstrom
0.000 3.383 3.383
3.383 0.000 3.383
3.383 3.383 0.000
ATOMIC_POSITIONS crystal
F 0.750 0.750 0.750
F 0.250 0.250 0.250
Cs 0.500 0.500 0.500
V 0.000 0.000 0.000

---

# 5
! CsV3F9, relaxed, DFT GGA+U; values from VASP
! Total energy in eV per atom: -5.9537
! Space-group type: No. 191
&SYSTEM
  ibrav = 0, nat = 13, ntyp = 3
/
ATOMIC_SPECIES
F 19.00 F.upf
V 50.94 V.upf
Cs 132.91 Cs.upf
CELL_PARAMETERS angstrom
-2.971 -2.430 -1.085
1.498 -4.534 6.053
-5.011 5.818 0.688
ATOMIC_POSITIONS crystal
F 0.500 0.407 0.204
F 0.500 0.796 0.204
F 0.000 0.000 0.500
F 0.500 0.593 0.796
F 0.000 0.500 0.000
F 0.000 0.500 0.500
F 0.500 0.204 0.796
F 0.500 0.204 0.407
F 0.500 0.796 0.593
V 0.500 0.500 0.000
V 0.500 0.000 0.500
V 0.500 0.500 0.500
Cs 0.000 0.000 0.000

---

# 6
! CsV2F, relaxed, DFT GGA+U; values from VASP
! Total energy in eV per atom: -3.2792
! Space-group type: No. 225
&SYSTEM
  ibrav = 0, nat = 4, ntyp = 3
/
ATOMIC_SPECIES
Cs 132.91 Cs.upf
V 50.94 V.upf
F 19.00 F.upf
CELL_PARAMETERS angstrom
1.315 -2.650 4.518
-0.017 2.578 4.745
-3.796 -1.127 3.671
ATOMIC_POSITIONS crystal
Cs 0.500 0.500 0.500
V 0.750 0.750 0.750
V 0.250 0.250 0.250
F 0.000 0.000 0.000

---

# 7
! Cs2VF2, relaxed, DFT GGA+U; values from VASP
! Total energy in eV per atom: -3.6138
! Energy relative to the lowest polymorph listed for this composition in meV/atom: 17.5
! Space-group type: No. 127
&SYSTEM
  ibrav = 0, nat = 10, ntyp = 3
/
ATOMIC_SPECIES
F 19.00 F.upf
Cs 132.91 Cs.upf
V 50.94 V.upf
CELL_PARAMETERS angstrom
-5.275 3.478 6.441
-4.602 -7.749 0.416
2.216 -1.184 2.454
ATOMIC_POSITIONS crystal
F 0.638 0.862 0.500
F 0.138 0.638 0.500
F 0.362 0.138 0.500
F 0.862 0.362 0.500
Cs 0.642 0.142 0.000
Cs 0.358 0.858 0.000
Cs 0.858 0.642 0.000
Cs 0.142 0.358 0.000
V 0.500 0.500 0.000
V 0.000 0.000 0.000

---

# 8
! CsYVF6, relaxed, DFT GGA+U; values from VASP
! Total energy in eV per atom: -6.2302
! Space-group type: No. 74
&SYSTEM
  ibrav = 0, nat = 18, ntyp = 4
/
ATOMIC_SPECIES
F 19.00 F.upf
Y 88.91 Y.upf
V 50.94 V.upf
Cs 132.91 Cs.upf
CELL_PARAMETERS angstrom
-3.206 -5.642 -5.048
-4.300 -2.876 5.946
-0.410 7.790 -1.751
ATOMIC_POSITIONS crystal
F 0.555 0.326 0.740
F 0.826 0.076 0.652
F 0.438 0.688 0.877
F 0.445 0.674 0.260
F 0.185 0.914 0.740
F 0.815 0.674 0.260
F 0.174 0.924 0.348
F 0.562 0.312 0.123
F 0.815 0.086 0.260
F 0.185 0.326 0.740
F 0.555 0.914 0.740
F 0.445 0.086 0.260
Y 0.000 0.000 0.500
Y 0.500 0.000 0.500
V 0.500 0.000 0.000
V 0.500 0.500 0.000
Cs 0.173 0.423 0.346
Cs 0.827 0.577 0.654

---

# 9
! Cs2VZn3F12, relaxed, DFT GGA+U; values from VASP
! Total energy in eV per atom: -4.5536
! Space-group type: No. 166
&SYSTEM
  ibrav = 0, nat = 18, ntyp = 4
/
ATOMIC_SPECIES
V 50.94 V.upf
F 19.00 F.upf
Zn 65.41 Zn.upf
Cs 132.91 Cs.upf
CELL_PARAMETERS angstrom
7.649 0.159 0.113
3.916 6.573 0.113
3.916 2.279 6.166
ATOMIC_POSITIONS crystal
V 0.000 0.000 0.000
F 0.322 0.322 0.928
F 0.068 0.068 0.701
F 0.068 0.701 0.068
F 0.932 0.932 0.299
F 0.072 0.678 0.678
F 0.299 0.932 0.932
F 0.322 0.928 0.322
F 0.678 0.678 0.072
F 0.701 0.068 0.068
F 0.928 0.322 0.322
F 0.932 0.299 0.932
F 0.678 0.072 0.678
Zn 0.000 0.500 0.000
Zn 0.000 0.000 0.500
Zn 0.500 0.000 0.000
Cs 0.388 0.388 0.388
Cs 0.612 0.612 0.612

---

# 10
! Cs2V3ZnF12, relaxed, DFT GGA+U; values from VASP
! Total energy in eV per atom: -5.4533
! Space-group type: No. 166
&SYSTEM
  ibrav = 0, nat = 18, ntyp = 4
/
ATOMIC_SPECIES
F 19.00 F.upf
Cs 132.91 Cs.upf
V 50.94 V.upf
Zn 65.41 Zn.upf
CELL_PARAMETERS angstrom
-6.094 0.546 4.432
-2.665 -6.104 3.566
0.686 -0.622 7.498
ATOMIC_POSITIONS crystal
F 0.929 0.325 0.929
F 0.929 0.929 0.325
F 0.318 0.318 0.932
F 0.071 0.675 0.071
F 0.682 0.682 0.068
F 0.068 0.682 0.682
F 0.682 0.068 0.682
F 0.325 0.929 0.929
F 0.932 0.318 0.318
F 0.071 0.071 0.675
F 0.675 0.071 0.071
F 0.318 0.932 0.318
Cs 0.371 0.371 0.371
Cs 0.629 0.629 0.629
V 0.000 0.000 0.500
V 0.000 0.500 0.000
V 0.500 0.000 0.000
Zn 0.000 0.000 0.000

---

# 11
! CsVZn2F8, relaxed, DFT GGA+U; values from VASP
! Total energy in eV per atom: -4.7138
! Space-group type: No. 148
&SYSTEM
  ibrav = 0, nat = 12, ntyp = 4
/
ATOMIC_SPECIES
F 19.00 F.upf
Cs 132.91 Cs.upf
Zn 65.41 Zn.upf
V 50.94 V.upf
CELL_PARAMETERS angstrom
5.322 0.000 0.000
2.661 4.609 0.000
2.661 1.536 9.126
ATOMIC_POSITIONS crystal
F 0.652 0.254 0.127
F 0.254 0.967 0.127
F 0.198 0.198 0.407
F 0.746 0.033 0.873
F 0.802 0.802 0.593
F 0.967 0.652 0.127
F 0.348 0.746 0.873
F 0.033 0.348 0.873
Cs 0.500 0.500 0.500
Zn 0.734 0.734 0.798
Zn 0.266 0.266 0.202
V 0.000 0.000 0.000

---

# 12
! CsWF7, relaxed, DFT GGA+U; values from VASP
! Total energy in eV per atom: -5.0981
! Space-group type: No. 205
&SYSTEM
  ibrav = 0, nat = 72, ntyp = 3
/
ATOMIC_SPECIES
F 19.00 F.upf
Cs 132.91 Cs.upf
W 183.84 W.upf
CELL_PARAMETERS angstrom
10.919 0.000 0.000
0.000 10.919 0.000
0.000 0.000 10.919
ATOMIC_POSITIONS crystal
F 0.118 0.146 0.776
F 0.574 0.366 0.740
F 0.618 0.146 0.724
F 0.426 0.634 0.260
F 0.276 0.382 0.854
F 0.634 0.240 0.926
F 0.426 0.866 0.760
F 0.074 0.366 0.760
F 0.740 0.926 0.866
F 0.646 0.776 0.382
F 0.926 0.866 0.740
F 0.146 0.724 0.618
F 0.776 0.118 0.146
F 0.673 0.827 0.173
F 0.327 0.327 0.327
F 0.760 0.426 0.866
F 0.866 0.740 0.926
F 0.634 0.260 0.426
F 0.118 0.354 0.276
F 0.134 0.260 0.074
F 0.173 0.673 0.827
F 0.854 0.276 0.382
F 0.366 0.760 0.074
F 0.724 0.618 0.146
F 0.146 0.776 0.118
F 0.740 0.574 0.366
F 0.760 0.074 0.366
F 0.224 0.618 0.354
F 0.354 0.276 0.118
F 0.354 0.224 0.618
F 0.382 0.646 0.776
F 0.173 0.827 0.327
F 0.882 0.854 0.224
F 0.134 0.240 0.574
F 0.260 0.074 0.134
F 0.240 0.926 0.634
F 0.854 0.224 0.882
F 0.224 0.882 0.854
F 0.366 0.740 0.574
F 0.574 0.134 0.240
F 0.926 0.634 0.240
F 0.618 0.354 0.224
F 0.327 0.173 0.827
F 0.673 0.673 0.673
F 0.382 0.854 0.276
F 0.882 0.646 0.724
F 0.240 0.574 0.134
F 0.866 0.760 0.426
F 0.276 0.118 0.354
F 0.827 0.327 0.173
F 0.646 0.724 0.882
F 0.827 0.173 0.673
F 0.776 0.382 0.646
F 0.260 0.426 0.634
F 0.724 0.882 0.646
F 0.074 0.134 0.260
Cs 0.500 0.000 0.000
Cs 0.000 0.000 0.000
Cs 0.000 0.000 0.500
Cs 0.500 0.500 0.000
Cs 0.000 0.500 0.500
Cs 0.500 0.000 0.500
Cs 0.000 0.500 0.000
Cs 0.500 0.500 0.500
W 0.724 0.224 0.276
W 0.276 0.776 0.724
W 0.224 0.224 0.224
W 0.276 0.724 0.224
W 0.776 0.724 0.276
W 0.224 0.276 0.724
W 0.776 0.776 0.776
W 0.724 0.276 0.776